# ScGe2Cl8 (GGA-PBE, relaxed)
# Size of the total moment = 0.0 μB/f.u.
# ΔE_f (raw) = -1.163 eV per atom
# DFT total energy = -3.9211 eV/atom
data_ScGe2Cl8
_cell_length_a 11.7215
_cell_length_b 9.2313
_cell_length_c 7.2055
_cell_angle_alpha 90.00
_cell_angle_beta 107.38
_cell_angle_gamma 90.00
_space_group_name_H-M_alt 'C 1 2/m 1'
_space_group_IT_number 12
_space_group_name_Hall '-C 2y'
loop_
_atom_site_label
_atom_site_fract_x
_atom_site_fract_y
_atom_site_fract_z
Sc1 0.0000 0.0000 0.0000
Ge1 0.1335 0.0000 0.6209
Cl1 0.0843 0.1882 0.8207
Cl2 0.1724 0.5000 0.2374
Cl3 0.1841 0.0000 0.2770


# AlRuPt2 (GGA-PBE, relaxed)
# Size of the total moment = 0.0 μB/f.u.
# DFT total energy = -6.6796 eV/atom
data_AlRuPt2
_cell_length_a 2.7734
_cell_length_b 3.8790
_cell_length_c 5.4915
_cell_angle_alpha 90.00
_cell_angle_beta 90.00
_cell_angle_gamma 90.00
_space_group_name_H-M_alt 'P m m m'
_space_group_IT_number 47
_space_group_name_Hall '-P 2 2'
loop_
_atom_site_label
_atom_site_fract_x
_atom_site_fract_y
_atom_site_fract_z
Al1 0.0000 0.0000 0.0000
Ru1 0.0000 0.0000 0.5000
Pt1 0.5000 0.5000 0.2506


# ReSbTe2I (GGA-PBE, relaxed)
# E above lowest polymorph = 979 meV/atom
# Size of the total moment = 5.6 μB/f.u.
# ΔE_f (raw) = 1.506 eV per atom
# DFT total energy = -3.3749 eV/atom
data_ReSbTe2I
_cell_length_a 5.7740
_cell_length_b 5.7740
_cell_length_c 5.9184
_cell_angle_alpha 90.00
_cell_angle_beta 90.00
_cell_angle_gamma 90.00
_space_group_name_H-M_alt 'P 4/m m m'
_space_group_IT_number 123
_space_group_name_Hall '-P 4 2'
loop_
_atom_site_label
_atom_site_fract_x
_atom_site_fract_y
_atom_site_fract_z
Re1 0.0000 0.0000 0.0000
Sb1 0.5000 0.5000 0.5000
Te1 0.0000 0.5000 0.5000
I1 0.5000 0.5000 0.0000


# BeZnAg2 (GGA-PBE, relaxed)
# E above lowest polymorph = 14 meV/atom
# Size of the total moment = 0.0 μB/f.u.
# DFT total energy = -2.5894 eV/atom
data_BeZnAg2
_cell_length_a 9.5320
_cell_length_b 2.9165
_cell_length_c 4.4972
_cell_angle_alpha 90.00
_cell_angle_beta 111.18
_cell_angle_gamma 90.00
_space_group_name_H-M_alt 'C 1 m 1'
_space_group_IT_number 8
_space_group_name_Hall 'C -2y'
loop_
_atom_site_label
_atom_site_fract_x
_atom_site_fract_y
_atom_site_fract_z
Be1 0.0000 0.0000 0.0000
Zn1 0.2134 0.5000 0.2793
Ag1 0.2691 0.0000 0.8288
Ag2 0.4836 0.0000 0.5013


# Tl2SiBr (GGA-PBE, relaxed)
# E above lowest polymorph = 62 meV/atom
# Size of the total moment = 0.0 μB/f.u.
# ΔE_f (raw) = 0.123 eV per atom
# DFT total energy = -2.8338 eV/atom
data_Tl2SiBr
_cell_length_a 6.5881
_cell_length_b 6.5881
_cell_length_c 14.2892
_cell_angle_alpha 90.00
_cell_angle_beta 90.00
_cell_angle_gamma 90.00
_space_group_name_H-M_alt 'I -4 2 d'
_space_group_IT_number 122
_space_group_name_Hall 'I -4 2bw'
loop_
_atom_site_label
_atom_site_fract_x
_atom_site_fract_y
_atom_site_fract_z
Tl1 0.1931 0.2500 0.1250
Si1 0.0000 0.0000 0.0000
Br1 0.0000 0.0000 0.5000


# Nd2Sm3Zn2 (GGA-PBE, relaxed)
# E above lowest polymorph = 45 meV/atom
# Size of the total moment = 0.0 μB/f.u.
# DFT total energy = -3.8239 eV/atom
data_Nd2Sm3Zn2
_cell_length_a 12.0515
_cell_length_b 4.5079
_cell_length_c 8.4491
_cell_angle_alpha 90.00
_cell_angle_beta 115.87
_cell_angle_gamma 90.00
_space_group_name_H-M_alt 'C 1 2/m 1'
_space_group_IT_number 12
_space_group_name_Hall '-C 2y'
loop_
_atom_site_label
_atom_site_fract_x
_atom_site_fract_y
_atom_site_fract_z
Nd1 0.1440 0.0000 0.3071
Sm1 0.0000 0.5000 0.5000
Sm2 0.1268 0.5000 0.9574
Zn1 0.1559 0.0000 0.7037


# Cs2ErCu2Te4 (GGA-PBE, relaxed)
# Size of the total moment = 0.0 μB/f.u.
# ΔE_f (raw) = -0.837 eV per atom
# DFT total energy = -3.8406 eV/atom
data_Cs2ErCu2Te4
_cell_length_a 16.1279
_cell_length_b 4.3099
_cell_length_c 9.1206
_cell_angle_alpha 90.00
_cell_angle_beta 107.59
_cell_angle_gamma 90.00
_space_group_name_H-M_alt 'C 1 2/m 1'
_space_group_IT_number 12
_space_group_name_Hall '-C 2y'
loop_
_atom_site_label
_atom_site_fract_x
_atom_site_fract_y
_atom_site_fract_z
Cs1 0.1335 0.0000 0.0523
Er1 0.0000 0.0000 0.5000
Cu1 0.1827 0.5000 0.4857
Te1 0.0242 0.5000 0.2800
Te2 0.1983 0.0000 0.6635


# MoAsBr2 (GGA-PBE, relaxed)
# E above lowest polymorph = 274 meV/atom
# Size of the total moment = 1.0 μB/f.u.
# ΔE_f (raw) = 0.100 eV per atom
# DFT total energy = -4.6069 eV/atom
data_MoAsBr2
_cell_length_a 9.5093
_cell_length_b 9.5093
_cell_length_c 4.8467
_cell_angle_alpha 90.00
_cell_angle_beta 90.00
_cell_angle_gamma 90.00
_space_group_name_H-M_alt 'I -4 2 d'
_space_group_IT_number 122
_space_group_name_Hall 'I -4 2bw'
loop_
_atom_site_label
_atom_site_fract_x
_atom_site_fract_y
_atom_site_fract_z
Mo1 0.0000 0.0000 0.0000
As1 0.0000 0.0000 0.5000
Br1 0.1092 0.2500 0.1250